[1]
A plane-wave DFT calculation with PBE was carried out for a geometry-optimized Pr3DyY12 structure.

Properties
space group: P4/mmm
density of states at the Fermi level: 24.29 states/eV per cell
calculated total energy: -6.0091 eV/atom

a b c (Å): 5.086 5.086 20.350
angles (deg): 90.00 90.00 90.00
Atoms (fractional coordinates):
Pr (0.000, 0.000, 0.249)
Pr (0.000, 0.000, 0.500)
Pr (0.000, 0.000, 0.751)
Dy (0.000, 0.000, 0.000)
Y (0.500, 0.500, 0.000)
Y (0.500, 0.500, 0.248)
Y (0.500, 0.500, 0.500)
Y (0.500, 0.500, 0.752)
Y (0.500, 0.000, 0.123)
Y (0.500, 0.000, 0.374)
Y (0.500, 0.000, 0.626)
Y (0.500, 0.000, 0.877)
Y (0.000, 0.500, 0.123)
Y (0.000, 0.500, 0.374)
Y (0.000, 0.500, 0.626)
Y (0.000, 0.500, 0.877)


[2]
A plane-wave DFT calculation with PBE was carried out for a geometry-optimized RbSrSiHO4 structure.

Properties
space group: P2_1
density of states at the Fermi level: 0.00 states/eV per cell
calculated total energy: -6.2847 eV/atom

a b c (Å): 7.903 5.903 5.948
angles (deg): 59.25 90.00 90.00
Atoms (fractional coordinates):
Rb (0.231, 0.642, 0.642)
Rb (0.731, 0.358, 0.358)
Sr (0.484, 0.003, 0.988)
Sr (0.984, 0.997, 0.012)
Si (0.246, 0.309, 0.314)
Si (0.746, 0.691, 0.686)
H (0.006, 0.046, 0.493)
H (0.506, 0.954, 0.507)
O (0.239, 0.632, 0.152)
O (0.739, 0.368, 0.848)
O (0.240, 0.183, 0.123)
O (0.740, 0.817, 0.877)
O (0.403, 0.183, 0.525)
O (0.903, 0.817, 0.475)
O (0.068, 0.189, 0.511)
O (0.568, 0.811, 0.489)


[3]
A plane-wave DFT calculation with PBE was carried out for a geometry-optimized GdAlCd2 structure.

Properties
space group: Fm-3m
density of states at the Fermi level: 1.93 states/eV per cell
calculated total energy: -5.1079 eV/atom

a b c (Å): 5.047 5.047 5.047
angles (deg): 60.00 60.00 60.00
Each line ends with the local moment (μB).
Atoms (fractional coordinates):
Gd (0.500, 0.500, 0.500)  6.91
Al (0.000, 0.000, 0.000)  -0.02
Cd (0.250, 0.250, 0.250)  -0.02
Cd (0.750, 0.750, 0.750)  -0.02


[4]
A plane-wave DFT calculation with PBE was carried out for a geometry-optimized La2Sc2Ge2O structure.

Properties
ΔE_f (raw): -1.514 eV/atom
space group: I4/mmm
density of states at the Fermi level: 4.28 states/eV per cell

a b c (Å): 4.353 4.353 8.690
angles (deg): 104.50 104.50 90.00
Each line ends with the local moment (μB).
Atoms (fractional coordinates):
La (0.173, 0.173, 0.346)  0.21
La (0.827, 0.827, 0.654)  0.21
Sc (0.000, 0.500, 0.000)  0.08
Sc (0.500, 0.000, 0.000)  0.08
Ge (0.378, 0.378, 0.755)  -0.02
Ge (0.622, 0.622, 0.245)  -0.02
O (0.000, 0.000, 0.000)  0.00


[5]
A plane-wave DFT calculation with PBE was carried out for a geometry-optimized Cs2Pb2N structure.

Properties
ΔE_f (raw): 0.604 eV/atom
space group: P4/mbm
density of states at the Fermi level: 6.97 states/eV per cell

a b c (Å): 7.141 7.141 6.655
angles (deg): 90.00 90.00 90.00
Atoms (fractional coordinates):
Pb (0.335, 0.835, 0.000)
Pb (0.835, 0.665, 0.000)
Pb (0.665, 0.165, 0.000)
Pb (0.165, 0.335, 0.000)
Cs (0.183, 0.683, 0.500)
Cs (0.683, 0.817, 0.500)
Cs (0.817, 0.317, 0.500)
Cs (0.317, 0.183, 0.500)
N (0.000, 0.000, 0.000)
N (0.500, 0.500, 0.000)


[6]
A plane-wave DFT calculation with PBE was carried out for a geometry-optimized SrGa3Pt2 structure.

Properties
space group: C2/m
density of states at the Fermi level: 8.45 states/eV per cell
calculated total energy: -4.5505 eV/atom

a b c (Å): 4.248 8.664 10.434
angles (deg): 107.05 90.00 104.19
Atoms (fractional coordinates):
Sr (0.159, 0.317, 0.706)
Sr (0.841, 0.683, 0.294)
Sr (0.000, 0.000, 0.000)
Ga (0.042, 0.085, 0.361)
Ga (0.958, 0.915, 0.639)
Ga (0.216, 0.433, 0.388)
Ga (0.784, 0.567, 0.612)
Ga (0.629, 0.259, 0.197)
Ga (0.371, 0.741, 0.803)
Ga (0.500, 0.000, 0.500)
Ga (0.333, 0.667, 0.042)
Ga (0.667, 0.333, 0.958)
Pt (0.199, 0.397, 0.122)
Pt (0.801, 0.603, 0.878)
Pt (0.477, 0.955, 0.225)
Pt (0.523, 0.045, 0.775)
Pt (0.360, 0.720, 0.555)
Pt (0.640, 0.280, 0.445)


[7]
A plane-wave DFT calculation with PBE was carried out for a geometry-optimized NaAlO structure.

Properties
ΔE_f (raw): -1.422 eV/atom
space group: Pmn2_1
density of states at the Fermi level: 0.70 states/eV per cell
E above lowest polymorph: 4.7 kJ per mole of atoms

a b c (Å): 3.089 6.814 4.653
angles (deg): 90.00 90.00 90.00
Atoms (fractional coordinates):
Na (0.000, 0.624, 0.125)
Na (0.500, 0.376, 0.625)
Al (0.000, 0.136, 0.114)
Al (0.500, 0.864, 0.614)
O (0.000, 0.948, 0.407)
O (0.500, 0.052, 0.907)


[8]
A plane-wave DFT calculation with PBE was carried out for a geometry-optimized YTh2Ni6 structure.

Properties
space group: Immm
density of states at the Fermi level: 6.51 states/eV per cell
E above lowest polymorph: 15.8 kJ per mole of atoms

a b c (Å): 3.588 7.645 7.645
angles (deg): 54.20 76.43 76.43
Atoms (fractional coordinates):
Y (0.500, 0.500, 0.500)
Th (0.354, 0.146, 0.146)
Th (0.646, 0.854, 0.854)
Ni (0.170, 0.515, 0.145)
Ni (0.830, 0.485, 0.855)
Ni (0.830, 0.855, 0.485)
Ni (0.000, 0.179, 0.821)
Ni (0.000, 0.821, 0.179)
Ni (0.170, 0.145, 0.515)